A relaxed BaMnTe3 crystal. Source: the Alexandria database, functional GGA-PBE.

Summary:
Relative energy among the computed polymorphs (eV per atom): 0.000
ΔE_f (raw) (eV per atom): -0.3431
Energy (Ry per atom): -0.32681

a b c (Å): 5.2709 5.2709 5.2709
angles (deg): 90.00 90.00 90.00
Last column: magnetic moment on the atom in μB.
Positions (direct):
Te 0.5000 0.0000 0.0000  -0.03
Ba 0.5000 0.5000 0.5000  -0.01
Te 0.0000 0.5000 0.0000  -0.03
Mn 0.0000 0.0000 0.0000  0.12
Te 0.0000 0.0000 0.5000  0.00